Model A:
Computed, not measured: a crystal of As3Os relaxed with PBEsol at the meta-GGA SCAN level of DFT.

a = 4.8996 Å, b = 4.8996 Å, c = 4.8996 Å
α = 133.66°, β = 77.97°, γ = 121.20°
Closest atoms and distances in Å follow each position.
Positions (direct):
As: 0.0000 0.0000 0.0000  2 Os 2.44, 2 As 2.46
As: 0.3955 0.5807 0.8148  1 As 2.46, 3 Os 2.64-2.72
As: 0.7659 0.5807 0.1852  1 As 2.46, 3 Os 2.64-2.72
Os: 0.3115 0.8115 0.5000  8 As 2.44-2.72

Calculated values
* V: 17.66 Å³/atom
* symmetry: Imm2



Model B:
Computed, not measured: a crystal of As3Os relaxed with PBEsol at the meta-GGA SCAN level of DFT.

a = 4.6046 Å, b = 4.6046 Å, c = 3.1092 Å
α = 90.00°, β = 90.00°, γ = 103.00°
Closest atoms and distances in Å follow each position.
Positions (direct):
As: 0.0000 0.0000 0.0000  10 As 2.78-3.11, 2 Os 2.87
As: 0.0000 0.5000 0.5000  8 As 2.78-3.11, 4 Os 2.78
As: 0.5000 0.0000 0.5000  8 As 2.78-3.11, 4 Os 2.78
Os: 0.5000 0.5000 0.0000  10 As 2.78-2.87, 2 Os 3.11

Calculated values
* V: 16.06 Å³/atom
* symmetry: Cmmm



Model C:
Computed, not measured: a crystal of As3Os relaxed with PBEsol at the meta-GGA SCAN level of DFT.

a = 4.4566 Å, b = 4.4566 Å, c = 4.4566 Å
α = 109.47°, β = 109.47°, γ = 109.47°
Closest atoms and distances in Å follow each position.
Positions (direct):
As: 0.0000 0.5000 0.5000  4 As 2.57, 2 Os 2.57
As: 0.5000 0.0000 0.5000  4 As 2.57, 2 Os 2.57
As: 0.5000 0.5000 0.0000  4 As 2.57, 2 Os 2.57
Os: 0.0000 0.0000 0.0000  6 As 2.57

Calculated values
* V: 17.03 Å³/atom
* symmetry: Im-3m



Here is how they stack up, most stable first: model A, model C, model B.